[1]
DFT (PBE) results for an optimized crystal structure of HoCuSe2.

Results
energy = -4.9153 eV per atom
ΔE_f (raw) = -1.00 eV/atom

Cell and atoms, written as CIF:
```
data_HoCuSe2
_space_group_name_H-M_alt 'R 3 m'
_space_group_IT_number 160
_space_group_name_Hall 'R 3 -2"'
_cell_length_a 3.9211
_cell_length_b 3.9211
_cell_length_c 19.3700
_cell_angle_alpha 90.00
_cell_angle_beta 90.00
_cell_angle_gamma 120.00
loop_
_atom_site_label
_atom_site_type_symbol
_atom_site_fract_x
_atom_site_fract_y
_atom_site_fract_z
Ho1 Ho 0.0000 0.0000 0.0000
Cu1 Cu 0.0000 0.0000 0.1733
Se1 Se 0.0000 0.0000 0.5724
Se2 Se 0.0000 0.0000 0.7561
```


[2]
DFT (PBE) results for an optimized crystal structure of SmGa3RhAu.

Results
calculated formation energy = -0.47 eV/atom
energy = -4.5369 eV per atom

Cell and atoms, written as CIF:
```
data_SmGa3RhAu
_space_group_name_H-M_alt 'C m c m'
_space_group_IT_number 63
_space_group_name_Hall '-C 2c 2'
_cell_length_a 6.160
_cell_length_b 12.733
_cell_length_c 5.905
_cell_angle_alpha 90.00
_cell_angle_beta 90.00
_cell_angle_gamma 90.00
loop_
_atom_site_label
_atom_site_type_symbol
_atom_site_fract_x
_atom_site_fract_y
_atom_site_fract_z
Sm1 Sm 0.000 0.220 0.250
Ga1 Ga 0.000 0.364 0.750
Ga2 Ga 0.203 0.000 0.000
Rh1 Rh 0.000 0.430 0.250
Au1 Au 0.000 0.160 0.750
```


[3]
DFT (PBE) results for an optimized crystal structure of TaCdFe.

Results
calculated formation energy = 0.25 eV/atom
energy = -6.8248 eV per atom
offset from the most stable computed form = 41 meV per atom

Cell and atoms, written as CIF:
```
data_TaCdFe
_space_group_name_H-M_alt 'F m m 2'
_space_group_IT_number 42
_space_group_name_Hall 'F 2 -2'
_cell_length_a 3.420
_cell_length_b 4.456
_cell_length_c 13.275
_cell_angle_alpha 90.00
_cell_angle_beta 90.00
_cell_angle_gamma 90.00
loop_
_atom_site_label
_atom_site_type_symbol
_atom_site_fract_x
_atom_site_fract_y
_atom_site_fract_z
Ta1 Ta 0.000 0.000 0.000
Cd1 Cd 0.000 0.000 0.311
Fe1 Fe 0.000 0.000 0.645
```


[4]
DFT (PBE) results for an optimized crystal structure of KV2Au.

Results
calculated formation energy = 1.11 eV/atom
energy = -4.5382 eV per atom
offset from the most stable computed form = 83 meV per atom

Cell and atoms, written as CIF:
```
data_KV2Au
_space_group_name_H-M_alt 'F m -3 m'
_space_group_IT_number 225
_space_group_name_Hall '-F 4 2 3'
_cell_length_a 6.956
_cell_length_b 6.956
_cell_length_c 6.956
_cell_angle_alpha 90.00
_cell_angle_beta 90.00
_cell_angle_gamma 90.00
loop_
_atom_site_label
_atom_site_type_symbol
_atom_site_fract_x
_atom_site_fract_y
_atom_site_fract_z
K1 K 0.000 0.000 0.000
V1 V 0.250 0.250 0.250
Au1 Au 0.000 0.000 0.500
```


[5]
DFT (PBE) results for an optimized crystal structure of CaPaPd6.

Results
calculated formation energy = -0.77 eV/atom
energy = -6.0994 eV per atom
offset from the most stable computed form = 0 meV per atom

Cell and atoms, written as CIF:
```
data_CaPaPd6
_space_group_name_H-M_alt 'P 4/m m m'
_space_group_IT_number 123
_space_group_name_Hall '-P 4 2'
_cell_length_a 4.138
_cell_length_b 4.138
_cell_length_c 8.245
_cell_angle_alpha 90.00
_cell_angle_beta 90.00
_cell_angle_gamma 90.00
loop_
_atom_site_label
_atom_site_type_symbol
_atom_site_fract_x
_atom_site_fract_y
_atom_site_fract_z
Ca1 Ca 0.000 0.000 0.000
Pa1 Pa 0.000 0.000 0.500
Pd1 Pd 0.000 0.500 0.261
Pd2 Pd 0.500 0.500 0.000
Pd3 Pd 0.500 0.500 0.500
```


[6]
DFT (PBE) results for an optimized crystal structure of GaIr2C.

Results
calculated formation energy = 0.05 eV/atom
energy = -7.4438 eV per atom
offset from the most stable computed form = 0 meV per atom

Cell and atoms, written as CIF:
```
data_GaIr2C
_space_group_name_H-M_alt 'C m m m'
_space_group_IT_number 65
_space_group_name_Hall '-C 2 2'
_cell_length_a 6.903
_cell_length_b 7.841
_cell_length_c 3.936
_cell_angle_alpha 90.00
_cell_angle_beta 90.00
_cell_angle_gamma 90.00
loop_
_atom_site_label
_atom_site_type_symbol
_atom_site_fract_x
_atom_site_fract_y
_atom_site_fract_z
Ga1 Ga 0.000 0.199 0.000
Ir1 Ir 0.208 0.500 0.000
Ir2 Ir 0.250 0.250 0.500
C1 C 0.109 0.500 0.500
```


[7]
DFT (PBE) results for an optimized crystal structure of La2TiN3.

Results
energy = -8.4648 eV per atom
offset from the most stable computed form = 95 meV per atom
ΔE_f (raw) = -1.34 eV/atom

Cell and atoms, written as CIF:
```
data_La2TiN3
_space_group_name_H-M_alt 'C m c 21'
_space_group_IT_number 36
_space_group_name_Hall 'C 2c -2'
_cell_length_a 9.902
_cell_length_b 6.463
_cell_length_c 5.817
_cell_angle_alpha 90.00
_cell_angle_beta 90.00
_cell_angle_gamma 90.00
loop_
_atom_site_label
_atom_site_type_symbol
_atom_site_fract_x
_atom_site_fract_y
_atom_site_fract_z
La1 La 0.165 0.156 0.000
Ti1 Ti 0.000 0.403 0.442
N1 N 0.000 0.123 0.350
N2 N 0.146 0.477 0.730
```


[8]
DFT (PBE) results for an optimized crystal structure of Sr2AlBr.

Results
energy = -2.7311 eV per atom
offset from the most stable computed form = 264 meV per atom
ΔE_f (raw) = -0.54 eV/atom

Cell and atoms, written as CIF:
```
data_Sr2AlBr
_space_group_name_H-M_alt 'I m m m'
_space_group_IT_number 71
_space_group_name_Hall '-I 2 2'
_cell_length_a 4.715
_cell_length_b 6.538
_cell_length_c 9.127
_cell_angle_alpha 90.00
_cell_angle_beta 90.00
_cell_angle_gamma 90.00
loop_
_atom_site_label
_atom_site_type_symbol
_atom_site_fract_x
_atom_site_fract_y
_atom_site_fract_z
Sr1 Sr 0.000 0.000 0.230
Al1 Al 0.000 0.500 0.000
Br1 Br 0.000 0.500 0.500
```


[9]
DFT (PBE) results for an optimized crystal structure of As4RuRh.

Results
calculated formation energy = -0.21 eV/atom
energy = -6.0811 eV per atom
offset from the most stable computed form = 0 meV per atom

Cell and atoms, written as CIF:
```
data_As4RuRh
_space_group_name_H-M_alt 'P 1 21/c 1'
_space_group_IT_number 14
_space_group_name_Hall '-P 2ybc'
_cell_length_a 6.019
_cell_length_b 5.998
_cell_length_c 6.004
_cell_angle_alpha 90.00
_cell_angle_beta 90.12
_cell_angle_gamma 90.00
loop_
_atom_site_label
_atom_site_type_symbol
_atom_site_fract_x
_atom_site_fract_y
_atom_site_fract_z
As1 As 0.117 0.122 0.123
As2 As 0.377 0.617 0.117
Ru1 Ru 0.000 0.000 0.500
Rh1 Rh 0.500 0.000 0.000
```


[10]
DFT (PBE) results for an optimized crystal structure of MnRe2Hg.

Results
calculated formation energy = 0.94 eV/atom
energy = -7.6528 eV per atom

Cell and atoms, written as CIF:
```
data_MnRe2Hg
_space_group_name_H-M_alt 'I -4 2 d'
_space_group_IT_number 122
_space_group_name_Hall 'I -4 2bw'
_cell_length_a 7.218
_cell_length_b 7.218
_cell_length_c 5.150
_cell_angle_alpha 90.00
_cell_angle_beta 90.00
_cell_angle_gamma 90.00
loop_
_atom_site_label
_atom_site_type_symbol
_atom_site_fract_x
_atom_site_fract_y
_atom_site_fract_z
Mn1 Mn 0.000 0.000 0.000
Re1 Re 0.183 0.250 0.125
Hg1 Hg 0.000 0.000 0.500
```


[11]
DFT (PBE) results for an optimized crystal structure of ScCr2Rh.

Results
calculated formation energy = 0.11 eV/atom
energy = -8.1261 eV per atom
offset from the most stable computed form = 261 meV per atom

Cell and atoms, written as CIF:
```
data_ScCr2Rh
_space_group_name_H-M_alt 'C 1 2/m 1'
_space_group_IT_number 12
_space_group_name_Hall '-C 2y'
_cell_length_a 5.010
_cell_length_b 8.818
_cell_length_c 2.719
_cell_angle_alpha 90.00
_cell_angle_beta 108.61
_cell_angle_gamma 90.00
loop_
_atom_site_label
_atom_site_type_symbol
_atom_site_fract_x
_atom_site_fract_y
_atom_site_fract_z
Sc1 Sc 0.000 0.000 0.000
Cr1 Cr 0.250 0.250 0.500
Rh1 Rh 0.000 0.500 0.000
```


[12]
DFT (PBE) results for an optimized crystal structure of LaCdPt3.

Results
calculated formation energy = 0.75 eV/atom
energy = -4.0434 eV per atom
offset from the most stable computed form = 652 meV per atom

Cell and atoms, written as CIF:
```
data_LaCdPt3
_space_group_name_H-M_alt 'P m -3 m'
_space_group_IT_number 221
_space_group_name_Hall '-P 4 2 3'
_cell_length_a 5.252
_cell_length_b 5.252
_cell_length_c 5.252
_cell_angle_alpha 90.00
_cell_angle_beta 90.00
_cell_angle_gamma 90.00
loop_
_atom_site_label
_atom_site_type_symbol
_atom_site_fract_x
_atom_site_fract_y
_atom_site_fract_z
La1 La 0.000 0.000 0.000
Cd1 Cd 0.500 0.500 0.500
Pt1 Pt 0.000 0.000 0.500
```


- Which value of energy does entry 4 give?
  -4.5382 eV per atom